# La8NdTm2

A relaxed La8NdTm2 crystal (PBE-GGA, Alexandria via LeMat-Bulk).

Values from the calculation:
* energy above the most stable polymorph in this dataset: 0.000 eV/atom
* energy: -4.73 eV/atom

Cell: 5.7820 8.3395 9.6437 Å, 115.61 107.44 90.00°
Last column: nearest neighbours and their distance in Å.
Element x y z (fractional)
1 La 0.6370 0.8366 0.2740  4 La 3.33-3.66, 1 Nd 3.37, 3 Tm 3.50-3.65
2 La 0.3631 0.5626 0.7262  4 La 3.33-3.66, 1 Nd 3.37, 3 Tm 3.50-3.65
3 La 0.1641 0.1642 0.3282  2 Tm 3.64, 8 La 3.64-3.85, 2 Nd 3.95
4 La 0.0000 0.2948 0.9999  7 La 3.42-3.66, 2 Tm 3.72, 2 Nd 3.79
5 La 0.8359 0.8358 0.6718  2 Tm 3.64, 8 La 3.64-3.85, 2 Nd 3.95
6 La 0.6369 0.4374 0.2738  4 La 3.33-3.66, 1 Nd 3.37, 3 Tm 3.50-3.65
7 La 0.3630 0.1634 0.7260  4 La 3.33-3.66, 1 Nd 3.37, 3 Tm 3.50-3.65
8 La 0.0000 0.7052 0.0001  7 La 3.42-3.66, 2 Tm 3.72, 2 Nd 3.79
9 Nd 0.5000 0.0000 0.0000  4 La 3.37
10 Tm 0.2014 0.7012 0.4027  10 La 3.50-3.72
11 Tm 0.7986 0.2988 0.5973  10 La 3.50-3.72



# La4NdTm15

A relaxed La4NdTm15 crystal (PBE-GGA, Alexandria via LeMat-Bulk).

Values from the calculation:
* energy: -4.54 eV/atom

Cell: 5.0429 5.0429 24.9674 Å, 90.00 90.00 90.00°
Last column: nearest neighbours and their distance in Å.
Element x y z (fractional)
1 La 0.0000 0.0000 0.1999  12 Tm 3.54-3.57
2 La 0.0000 0.0000 0.3998  12 Tm 3.55-3.57
3 La 0.0000 0.0000 0.6002  12 Tm 3.55-3.57
4 La 0.0000 0.0000 0.8001  12 Tm 3.54-3.57
5 Nd 0.0000 0.0000 0.0000  12 Tm 3.52-3.57
6 Tm 0.5000 0.5000 0.0000  8 Tm 3.52, 4 Nd 3.57
7 Tm 0.5000 0.5000 0.1992  8 Tm 3.55-3.56, 4 La 3.57
8 Tm 0.5000 0.5000 0.3999  8 Tm 3.55, 4 La 3.57
9 Tm 0.5000 0.5000 0.6001  8 Tm 3.55, 4 La 3.57
10 Tm 0.5000 0.5000 0.8008  8 Tm 3.55-3.56, 4 La 3.57
11 Tm 0.5000 0.0000 0.0986  2 Nd 3.52, 8 Tm 3.52-3.57, 2 La 3.57
12 Tm 0.5000 0.0000 0.2996  4 La 3.54-3.55, 8 Tm 3.55-3.57
13 Tm 0.5000 0.0000 0.5000  8 Tm 3.55-3.57, 4 La 3.55
14 Tm 0.5000 0.0000 0.7004  4 La 3.54-3.55, 8 Tm 3.55-3.57
15 Tm 0.5000 0.0000 0.9014  8 Tm 3.52-3.57, 2 Nd 3.52, 2 La 3.57
16 Tm 0.0000 0.5000 0.0986  2 Nd 3.52, 8 Tm 3.52-3.57, 2 La 3.57
17 Tm 0.0000 0.5000 0.2996  4 La 3.54-3.55, 8 Tm 3.55-3.57
18 Tm 0.0000 0.5000 0.5000  8 Tm 3.55-3.57, 4 La 3.55
19 Tm 0.0000 0.5000 0.7004  4 La 3.54-3.55, 8 Tm 3.55-3.57
20 Tm 0.0000 0.5000 0.9014  8 Tm 3.52-3.57, 2 Nd 3.52, 2 La 3.57



# La3NdTm6

A relaxed La3NdTm6 crystal (PBE-GGA, Alexandria via LeMat-Bulk).

Values from the calculation:
* energy above the most stable polymorph in this dataset: 0.000 eV/atom
* energy: -4.41 eV/atom

Cell: 9.3861 8.5761 8.5761 Å, 95.92 90.00 90.00°
Last column: nearest neighbours and their distance in Å.
Element x y z (fractional)
1 La 0.4504 0.9173 0.6970  7 Tm 3.16-3.54
2 La 0.9504 0.6970 0.9173  7 Tm 3.16-3.54
3 La 0.3515 0.4792 0.5208  8 Tm 3.51-3.89
4 La 0.8515 0.5208 0.4792  8 Tm 3.51-3.89
5 La 0.9504 0.0827 0.3030  7 Tm 3.16-3.54
6 La 0.4504 0.3030 0.0827  7 Tm 3.16-3.54
7 Nd 0.0370 0.2412 0.7588  8 Tm 3.66-4.05, 3 La 3.96-4.09
8 Nd 0.5370 0.7588 0.2412  8 Tm 3.66-4.05, 3 La 3.96-4.09
9 Tm 0.1316 0.8102 0.6313  2 Tm 3.15-3.32, 2 La 3.16-3.22
10 Tm 0.6316 0.6313 0.8102  2 Tm 3.15-3.32, 2 La 3.16-3.22
11 Tm 0.2948 0.6007 0.9200  5 Tm 3.32-3.55, 3 La 3.34-3.51
12 Tm 0.7948 0.9200 0.6007  5 Tm 3.32-3.55, 3 La 3.34-3.51
13 Tm 0.2148 0.9852 0.0148  5 Tm 3.27-3.56, 4 La 3.51-3.54
14 Tm 0.6285 0.2636 0.7364  5 Tm 3.15-3.43, 2 La 3.39
15 Tm 0.1285 0.7364 0.2636  5 Tm 3.15-3.43, 2 La 3.39
16 Tm 0.7148 0.0148 0.9852  5 Tm 3.27-3.56, 4 La 3.51-3.54
17 Tm 0.2948 0.0800 0.3993  5 Tm 3.32-3.55, 3 La 3.34-3.51
18 Tm 0.7948 0.3993 0.0800  5 Tm 3.32-3.55, 3 La 3.34-3.51
19 Tm 0.1316 0.3687 0.1898  2 Tm 3.15-3.32, 2 La 3.16-3.22
20 Tm 0.6316 0.1898 0.3687  2 Tm 3.15-3.32, 2 La 3.16-3.22



# LaNdTm2

A relaxed LaNdTm2 crystal (PBE-GGA, Alexandria via LeMat-Bulk).

Values from the calculation:
* energy above the most stable polymorph in this dataset: 0.009 eV/atom
* energy: -4.63 eV/atom

Cell: 4.9416 5.1696 5.1696 Å, 90.00 90.00 90.00°
Last column: nearest neighbours and their distance in Å.
Element x y z (fractional)
1 Tm 0.0000 0.0000 0.5000  4 La 3.58, 4 Nd 3.58, 4 Tm 3.66
2 Tm 0.0000 0.5000 0.0000  4 La 3.58, 4 Nd 3.58, 4 Tm 3.66
3 Nd 0.5000 0.5000 0.5000  8 Tm 3.58, 4 La 3.66
4 La 0.5000 0.0000 0.0000  8 Tm 3.58, 4 Nd 3.66



# La2NdTm6

A relaxed La2NdTm6 crystal (PBE-GGA, Alexandria via LeMat-Bulk).

Values from the calculation:
* energy: -4.41 eV/atom

Cell: 6.3710 10.2105 10.2105 Å, 87.94 70.11 70.11°
Last column: nearest neighbours and their distance in Å.
Element x y z (fractional)
1 La 0.1645 0.6099 0.6872  5 Tm 3.33-3.66, 2 La 3.37
2 La 0.3355 0.3128 0.3901  5 Tm 3.33-3.66, 2 La 3.37
3 La 0.8355 0.3901 0.3128  5 Tm 3.33-3.66, 2 La 3.37
4 La 0.6645 0.6872 0.6099  5 Tm 3.33-3.66, 2 La 3.37
5 Nd 0.2500 0.1322 0.8678  8 Tm 3.20-3.53
6 Nd 0.7500 0.8678 0.1322  8 Tm 3.20-3.53
7 Tm 0.4046 0.7464 0.3696  3 Tm 3.16-3.52, 1 Nd 3.20, 1 La 3.33
8 Tm 0.0954 0.6304 0.2536  3 Tm 3.16-3.52, 1 Nd 3.20, 1 La 3.33
9 Tm 0.5954 0.2536 0.6304  3 Tm 3.16-3.52, 1 Nd 3.20, 1 La 3.33
10 Tm 0.9046 0.3696 0.7464  3 Tm 3.16-3.52, 1 Nd 3.20, 1 La 3.33
11 Tm 0.7935 0.9574 0.4506  6 Tm 3.22-3.57, 1 La 3.35, 1 Nd 3.53
12 Tm 0.7065 0.5494 0.0426  6 Tm 3.22-3.57, 1 La 3.35, 1 Nd 3.53
13 Tm 0.2065 0.0426 0.5494  6 Tm 3.22-3.57, 1 La 3.35, 1 Nd 3.53
14 Tm 0.2935 0.4506 0.9574  6 Tm 3.22-3.57, 1 La 3.35, 1 Nd 3.53
15 Tm 0.3188 0.7993 0.9456  4 Tm 3.28-3.62, 2 Nd 3.31-3.38, 1 La 3.37
16 Tm 0.1812 0.0544 0.2007  4 Tm 3.28-3.62, 2 Nd 3.31-3.38, 1 La 3.37
17 Tm 0.6812 0.2007 0.0544  4 Tm 3.28-3.62, 2 Nd 3.31-3.38, 1 La 3.37
18 Tm 0.8188 0.9456 0.7993  4 Tm 3.28-3.62, 2 Nd 3.31-3.38, 1 La 3.37



# La4Nd2Tm

A relaxed La4Nd2Tm crystal (PBE-GGA, Alexandria via LeMat-Bulk).

Values from the calculation:
* energy above the most stable polymorph in this dataset: 0.000 eV/atom
* energy: -4.80 eV/atom

Cell: 9.0149 6.3966 9.7374 Å, 90.06 90.07 118.19°
Last column: nearest neighbours and their distance in Å.
Element x y z (fractional)
1 Tm 0.4114 0.5916 0.5709  8 La 3.65-3.69, 4 Nd 3.67-3.68
2 Tm 0.9094 0.0893 0.0713  8 La 3.64-3.69, 4 Nd 3.65-3.69
3 Nd 0.5549 0.0165 0.2856  2 Tm 3.66-3.67, 8 La 3.66-3.72, 2 Nd 3.67-3.68
4 Nd 0.6229 0.2319 0.6415  7 La 3.64-3.71, 3 Nd 3.67-3.71, 2 Tm 3.67-3.68
5 Nd 0.0544 0.5151 0.7859  8 La 3.65-3.72, 2 Tm 3.68, 2 Nd 3.68-3.70
6 Nd 0.6989 0.4459 0.0017  7 La 3.63-3.71, 2 Tm 3.65-3.69, 3 Nd 3.68-3.71
7 La 0.7674 0.6624 0.3580  4 Nd 3.66-3.71, 2 Tm 3.67-3.69, 6 La 3.68-3.72
8 La 0.2671 0.1631 0.8570  4 Nd 3.65-3.72, 6 La 3.67-3.72, 2 Tm 3.68-3.69
9 La 0.9850 0.3042 0.4285  7 La 3.64-3.72, 2 Tm 3.66-3.68, 3 Nd 3.67-3.71
10 La 0.1979 0.9472 0.5011  3 Nd 3.64-3.69, 2 Tm 3.67-3.69, 7 La 3.67-3.71
11 La 0.8357 0.8728 0.7155  5 La 3.62-3.71, 2 Tm 3.65-3.67, 5 Nd 3.68-3.72
12 La 0.3362 0.3732 0.2141  7 La 3.64-3.71, 2 Tm 3.66-3.68, 3 Nd 3.69-3.72
13 La 0.1225 0.7310 0.1415  3 Nd 3.63-3.71, 2 Tm 3.68, 7 La 3.68-3.72
14 La 0.4863 0.8060 0.9275  5 La 3.62-3.72, 2 Tm 3.64-3.68, 5 Nd 3.68-3.70



# LaNd7Tm4

A relaxed LaNd7Tm4 crystal (PBE-GGA, Alexandria via LeMat-Bulk).

Values from the calculation:
* energy above the most stable polymorph in this dataset: 0.000 eV/atom
* energy: -4.68 eV/atom

Cell: 7.3063 6.3284 11.5871 Å, 79.51 50.91 90.01°
Last column: nearest neighbours and their distance in Å.
Element x y z (fractional)
1 La 0.0000 0.0000 0.0000  10 Nd 3.62-3.68, 2 Tm 3.63
2 Nd 0.7423 0.5000 0.0028  7 Nd 3.58-3.72, 3 Tm 3.59-3.63, 2 La 3.67-3.68
3 Nd 0.2577 0.5000 0.9972  7 Nd 3.58-3.72, 3 Tm 3.59-3.63, 2 La 3.67-3.68
4 Nd 0.0843 0.2812 0.6630  6 Tm 3.55-3.72, 5 Nd 3.56-3.69, 1 La 3.64
5 Nd 0.9157 0.7188 0.3370  6 Tm 3.55-3.72, 5 Nd 3.56-3.69, 1 La 3.64
6 Nd 0.3356 0.7762 0.6643  6 Nd 3.56-3.69, 5 Tm 3.58-3.68, 1 La 3.62
7 Nd 0.5000 0.0000 0.0000  4 Tm 3.59-3.61, 6 Nd 3.62-3.64, 2 La 3.65
8 Nd 0.6644 0.2238 0.3357  6 Nd 3.56-3.69, 5 Tm 3.58-3.68, 1 La 3.62
9 Tm 0.4084 0.7226 0.3353  3 Tm 3.54-3.65, 8 Nd 3.55-3.72, 1 La 3.63
10 Tm 0.5916 0.2774 0.6647  3 Tm 3.54-3.65, 8 Nd 3.55-3.72, 1 La 3.63
11 Tm 0.8365 0.7823 0.6633  4 Tm 3.52-3.65, 8 Nd 3.55-3.65
12 Tm 0.1635 0.2177 0.3367  4 Tm 3.52-3.65, 8 Nd 3.55-3.65



# La3Nd4Tm

A relaxed La3Nd4Tm crystal (PBE-GGA, Alexandria via LeMat-Bulk).

Values from the calculation:
* energy above the most stable polymorph in this dataset: 0.023 eV/atom
* energy: -4.68 eV/atom

Cell: 3.5680 9.1512 9.1512 Å, 81.78 78.76 78.76°
Last column: nearest neighbours and their distance in Å.
Element x y z (fractional)
1 Tm 0.5000 0.0000 0.0000  4 Nd 3.45, 2 Tm 3.57, 4 La 3.68
2 Nd 0.6330 0.1135 0.6206  1 Tm 3.45, 3 La 3.48-3.74, 5 Nd 3.55-3.60
3 Nd 0.3670 0.8865 0.3794  1 Tm 3.45, 3 La 3.48-3.74, 5 Nd 3.55-3.60
4 Nd 0.3670 0.3794 0.8865  1 Tm 3.45, 3 La 3.48-3.74, 5 Nd 3.55-3.60
5 Nd 0.6330 0.6206 0.1135  1 Tm 3.45, 3 La 3.48-3.74, 5 Nd 3.55-3.60
6 La 0.7595 0.2405 0.2405  6 Nd 3.48-3.74, 2 La 3.57, 2 Tm 3.68
7 La 0.2405 0.7595 0.7595  6 Nd 3.48-3.74, 2 La 3.57, 2 Tm 3.68
8 La 0.0000 0.5000 0.5000  6 La 3.57-3.90, 8 Nd 3.95



# La7Nd12Tm

A relaxed La7Nd12Tm crystal (PBE-GGA, Alexandria via LeMat-Bulk).

Values from the calculation:
* energy above the most stable polymorph in this dataset: 0.386 eV/atom
* energy: -4.24 eV/atom

Cell: 10.0973 10.0973 10.0973 Å, 109.47 109.47 109.47°
Last column: nearest neighbours and their distance in Å.
Element x y z (fractional)
1 La 0.5000 0.5000 0.0000  12 Nd 4.11-4.19
2 La 0.0000 0.5000 0.5000  12 Nd 4.11-4.19
3 La 0.5000 0.0000 0.5000  12 Nd 4.11-4.19
4 La 0.5000 0.5000 0.5000  6 Nd 2.92
5 La 0.0000 0.0000 0.5000  6 Nd 2.92
6 La 0.5000 0.0000 0.0000  6 Nd 2.92
7 La 0.0000 0.5000 0.0000  6 Nd 2.92
8 Nd 0.5084 0.7548 0.7535  2 La 2.92
9 Nd 0.0013 0.7548 0.2465  2 La 2.92
10 Nd 0.4916 0.2452 0.2465  2 La 2.92
11 Nd 0.9987 0.2452 0.7535  2 La 2.92
12 Nd 0.7535 0.9987 0.2452  2 La 2.92
13 Nd 0.7535 0.5084 0.7548  2 La 2.92
14 Nd 0.2465 0.0013 0.7548  2 La 2.92
15 Nd 0.2465 0.4916 0.2452  2 La 2.92
16 Nd 0.7548 0.7535 0.5084  2 La 2.92
17 Nd 0.2452 0.2465 0.4916  2 La 2.92
18 Nd 0.7548 0.2465 0.0013  2 La 2.92
19 Nd 0.2452 0.7535 0.9987  2 La 2.92
20 Tm 0.0000 0.0000 0.0000  12 Nd 4.05



# La2NdTm12

A relaxed La2NdTm12 crystal (PBE-GGA, Alexandria via LeMat-Bulk).

Values from the calculation:
* energy: -4.44 eV/atom

Cell: 6.5902 6.5902 24.8520 Å, 96.59 83.41 64.91°
Last column: nearest neighbours and their distance in Å.
Element x y z (fractional)
1 La 0.5449 0.9551 0.2746  2 La 3.50-3.57, 10 Tm 3.59-3.81
2 La 0.0402 0.4598 0.2741  2 La 3.50-3.57, 10 Tm 3.59-3.80
3 La 0.9551 0.5449 0.7254  2 La 3.50-3.57, 10 Tm 3.59-3.81
4 La 0.4598 0.0402 0.7259  2 La 3.50-3.57, 10 Tm 3.59-3.80
5 Nd 0.4999 0.0001 0.0001  2 Tm 3.30, 2 Nd 3.54
6 Nd 0.0001 0.4999 0.9999  2 Tm 3.30, 2 Nd 3.54
7 Tm 0.4030 0.5972 0.7988  7 Tm 3.20-3.54
8 Tm 0.9028 0.0970 0.7988  7 Tm 3.20-3.54
9 Tm 0.6032 0.8968 0.8642  4 Tm 3.20-3.54, 1 Nd 3.30
10 Tm 0.0584 0.9417 0.9241  9 Tm 3.52-3.68, 4 Nd 3.77-3.78
11 Tm 0.0001 0.0027 0.3333  5 Tm 3.21-3.54, 1 La 3.59
12 Tm 0.4416 0.5583 0.0759  9 Tm 3.52-3.68, 4 Nd 3.77-3.78
13 Tm 0.8365 0.1669 0.5539  8 Tm 3.16-3.33
14 Tm 0.4973 0.4999 0.3333  5 Tm 3.21-3.54, 1 La 3.59
15 Tm 0.1033 0.3967 0.8640  4 Tm 3.20-3.54, 1 Nd 3.30
16 Tm 0.8968 0.6032 0.1358  4 Tm 3.20-3.54, 1 Nd 3.30
17 Tm 0.3251 0.1749 0.5689  8 Tm 3.31-3.64
18 Tm 0.6635 0.3331 0.4461  8 Tm 3.16-3.33
19 Tm 0.0027 0.0001 0.6667  5 Tm 3.21-3.54, 1 La 3.59
20 Tm 0.1749 0.3251 0.4311  8 Tm 3.31-3.64
21 Tm 0.3967 0.1033 0.1360  4 Tm 3.20-3.54, 1 Nd 3.30
22 Tm 0.6797 0.8203 0.4288  8 Tm 3.31-3.63
23 Tm 0.8203 0.6797 0.5712  8 Tm 3.31-3.63
24 Tm 0.0970 0.9028 0.2012  7 Tm 3.20-3.54
25 Tm 0.3331 0.6635 0.5539  8 Tm 3.16-3.33
26 Tm 0.4999 0.4973 0.6667  5 Tm 3.21-3.54, 1 La 3.59
27 Tm 0.5583 0.4416 0.9241  9 Tm 3.52-3.68, 4 Nd 3.77-3.78
28 Tm 0.5972 0.4030 0.2012  7 Tm 3.20-3.54
29 Tm 0.1669 0.8365 0.4461  8 Tm 3.16-3.33
30 Tm 0.9417 0.0584 0.0759  9 Tm 3.52-3.68, 4 Nd 3.77-3.78



# La9Nd2Tm

A relaxed La9Nd2Tm crystal (PBE-GGA, Alexandria via LeMat-Bulk).

Values from the calculation:
* energy: -4.86 eV/atom

Cell: 5.2253 5.2253 15.6972 Å, 90.00 90.00 90.00°
Last column: nearest neighbours and their distance in Å.
Element x y z (fractional)
1 La 0.5000 0.5000 0.0000  8 La 3.67, 4 Tm 3.69
2 La 0.5000 0.5000 0.3324  4 Nd 3.69, 8 La 3.71
3 La 0.5000 0.5000 0.6676  4 Nd 3.69, 8 La 3.71
4 La 0.5000 0.0000 0.1646  8 La 3.67-3.71, 2 Tm 3.67, 2 Nd 3.70
5 La 0.5000 0.0000 0.5000  8 La 3.69-3.71, 4 Nd 3.71
6 La 0.5000 0.0000 0.8354  8 La 3.67-3.71, 2 Tm 3.67, 2 Nd 3.70
7 La 0.0000 0.5000 0.1646  8 La 3.67-3.71, 2 Tm 3.67, 2 Nd 3.70
8 La 0.0000 0.5000 0.5000  8 La 3.69-3.71, 4 Nd 3.71
9 La 0.0000 0.5000 0.8354  2 Tm 3.67, 8 La 3.67-3.71, 2 Nd 3.70
10 Nd 0.0000 0.0000 0.3319  12 La 3.69-3.71
11 Nd 0.0000 0.0000 0.6681  12 La 3.69-3.71
12 Tm 0.0000 0.0000 0.0000  12 La 3.67-3.69



# La2Nd8Tm

A relaxed La2Nd8Tm crystal (PBE-GGA, Alexandria via LeMat-Bulk).

Values from the calculation:
* energy above the most stable polymorph in this dataset: 0.020 eV/atom
* energy: -4.63 eV/atom

Cell: 6.0376 9.2120 9.5327 Å, 61.11 74.96 57.52°
Last column: nearest neighbours and their distance in Å.
Element x y z (fractional)
1 La 0.0000 0.3066 0.3867  8 Nd 3.46-3.62
2 La 0.0000 0.6934 0.6133  8 Nd 3.46-3.62
3 Nd 0.8245 0.0990 0.2282  3 Nd 3.30-3.61, 2 La 3.59-3.62
4 Nd 0.8245 0.3272 0.7718  3 Nd 3.30-3.61, 2 La 3.59-3.62
5 Nd 0.2971 0.4184 0.0000  3 Nd 3.06-3.30, 1 Tm 3.36
6 Nd 0.5000 0.7948 0.4105  1 Tm 3.43, 2 La 3.46, 6 Nd 3.76-3.79
7 Nd 0.5000 0.2052 0.5895  1 Tm 3.43, 2 La 3.46, 6 Nd 3.76-3.79
8 Nd 0.7029 0.5816 0.0000  3 Nd 3.06-3.30, 1 Tm 3.36
9 Nd 0.1755 0.6728 0.2282  3 Nd 3.30-3.61, 2 La 3.59-3.62
10 Nd 0.1755 0.9010 0.7718  3 Nd 3.30-3.61, 2 La 3.59-3.62
11 Tm 0.5000 0.0000 0.0000  4 Nd 3.36-3.43



The evaluated calculated volume for the records listed, in turn: 36.0, 31.7, 34.3, 33.0, 32.5, 35.4, 33.7, 35.7, 39.6, 31.8, 35.7, 35.6 Å³ per atom.